[1]
TiSCl: optimized geometry, GGA-PBE.

## Properties
DOS at the Fermi energy (states/eV per cell): 3.32
Final energy (eV per atom): -6.122
Magnetization (μB/atom): 0.00

```
TiSCl
1.0
3.4312 0.0000 0.0000
0.0000 4.8235 0.0000
0.0000 0.0000 8.0128
Ti S Cl
2 2 2
Direct
0.2500 0.2500 0.0989
0.7500 0.7500 0.9011
0.2500 0.7500 0.1186
0.7500 0.2500 0.8814
0.2500 0.7500 0.6815
0.7500 0.2500 0.3185
```

[2]
Ti2SCl12: optimized geometry, GGA-PBE.

## Properties
DOS at the Fermi energy (states/eV per cell): 0.00
Final energy (eV per atom): -3.901
Magnetization (μB/atom): 0.00

```
Ti2SCl12
1.0
11.4403 6.6051 6.1485
-11.4403 6.6051 6.1485
0.0000 -13.2101 6.1485
Ti S Cl
12 6 72
Direct
0.0091 0.8459 0.6621
0.1541 0.3379 0.9909
0.1691 0.3553 0.5198
0.3379 0.9909 0.1541
0.3553 0.5198 0.1691
0.4802 0.8309 0.6447
0.5198 0.1691 0.3553
0.6447 0.4802 0.8309
0.6621 0.0091 0.8459
0.8309 0.6447 0.4802
0.8459 0.6621 0.0091
0.9909 0.1541 0.3379
0.0493 0.6611 0.3304
0.3304 0.0493 0.6611
0.3389 0.6696 0.9507
0.6611 0.3304 0.0493
0.6696 0.9507 0.3389
0.9507 0.3389 0.6696
0.0046 0.3484 0.9954
0.0046 0.9954 0.6516
0.0195 0.8668 0.8192
0.0238 0.3358 0.3743
0.0353 0.2147 0.5313
0.0494 0.5448 0.2234
0.1147 0.4656 0.6166
0.1284 0.7770 0.2988
0.1332 0.1808 0.9805
0.1367 0.3275 0.8299
0.1477 0.6559 0.4491
0.1701 0.8633 0.6725
0.1760 0.2136 0.3942
0.1808 0.9805 0.1332
0.2136 0.3942 0.1760
0.2147 0.5313 0.0353
0.2234 0.0494 0.5448
0.2230 0.7012 0.8716
0.2687 0.4631 0.4745
0.2807 0.3351 0.6408
0.2988 0.1284 0.7770
0.3275 0.8299 0.1367
0.3351 0.6408 0.2807
0.3358 0.3743 0.0238
0.3441 0.5509 0.8523
0.3484 0.9954 0.0046
0.3592 0.7193 0.6649
0.3743 0.0238 0.3358
0.3834 0.8853 0.5344
0.3942 0.1760 0.2136
0.4491 0.1477 0.6559
0.4552 0.7766 0.9506
0.4631 0.4745 0.2687
0.4656 0.6166 0.1147
0.4687 0.9647 0.7853
0.4745 0.2687 0.4631
0.5255 0.7313 0.5369
0.5313 0.0353 0.2147
0.5344 0.3834 0.8853
0.5369 0.5255 0.7313
0.5448 0.2234 0.0494
0.5509 0.8523 0.3441
0.6058 0.8240 0.7864
0.6166 0.1147 0.4656
0.6257 0.9762 0.6642
0.6408 0.2807 0.3351
0.6516 0.0046 0.9954
0.6559 0.4491 0.1477
0.6642 0.6257 0.9762
0.6649 0.3592 0.7193
0.6725 0.1701 0.8633
0.7012 0.8716 0.2230
0.7193 0.6649 0.3592
0.7313 0.5369 0.5255
0.7770 0.2988 0.1284
0.7766 0.9506 0.4552
0.7853 0.4687 0.9647
0.7864 0.6058 0.8240
0.8192 0.0195 0.8668
0.8240 0.7864 0.6058
0.8299 0.1367 0.3275
0.8523 0.3441 0.5509
0.8633 0.6725 0.1701
0.8668 0.8192 0.0195
0.8716 0.2230 0.7012
0.8853 0.5344 0.3834
0.9506 0.4552 0.7766
0.9647 0.7853 0.4687
0.9762 0.6642 0.6257
0.9805 0.1332 0.1808
0.9954 0.0046 0.3484
0.9954 0.6516 0.0046
```